No. 1
Computed, not measured: AlTl2Zn after structural relaxation at the PBE-GGA level of DFT.

Computed properties:
symmetry	F-43m
total moment	0.00	μB per cell
formation energy	0.3249	eV/atom

a = 5.1958 Å, b = 5.1958 Å, c = 5.1958 Å
α = 60.00°, β = 60.00°, γ = 60.00°
Closest atoms and distances in Å follow each position.
Element x y z (fractional)
1 Zn 0.7500 0.7500 0.7500  4 Tl 3.18, 4 Al 3.18
2 Tl 0.0000 0.0000 0.0000  4 Zn 3.18, 4 Tl 3.18
3 Tl 0.2500 0.2500 0.2500  4 Al 3.18, 4 Tl 3.18
4 Al 0.5000 0.5000 0.5000  4 Zn 3.18, 4 Tl 3.18

***

No. 2
Computed, not measured: AsRuN2F after structural relaxation at the PBE-GGA level of DFT.

Computed properties:
E_form (uncorrected)	667	meV/atom
symmetry	P4/mmm
polymorph energy (0 for the lowest one)	0.000	eV per atom
total moment	0.05	μB per cell

a = 3.8930 Å, b = 3.8930 Å, c = 4.0960 Å
α = 90.00°, β = 90.00°, γ = 90.00°
Closest atoms and distances in Å follow each position.
Element x y z (fractional)
1 N 0.5000 0.0000 0.0000  2 Ru 1.95
2 N 0.0000 0.5000 0.0000  2 Ru 1.95
3 Ru 0.0000 0.0000 0.0000  4 N 1.95, 2 F 2.05
4 As 0.5000 0.5000 0.5000  4 F 2.75, 8 N 2.83
5 F 0.0000 0.0000 0.5000  2 Ru 2.05

***

No. 3
Computed, not measured: ZrVSCl2 after structural relaxation at the PBE-GGA level of DFT.

Computed properties:
E_form (uncorrected)	-389	meV/atom
symmetry	P4/mmm
polymorph energy (0 for the lowest one)	0.000	eV per atom
total moment	3.96	μB per cell

a = 4.9919 Å, b = 4.9919 Å, c = 5.0456 Å
α = 90.00°, β = 90.00°, γ = 90.00°
Closest atoms and distances in Å follow each position.
Element x y z (fractional)
1 Zr 0.0000 0.0000 0.0000  4 Cl 2.50, 2 S 2.52
2 Cl 0.0000 0.5000 0.0000  2 Zr 2.50
3 V 0.5000 0.5000 0.5000  4 S 3.53, 8 Cl 3.55
4 Cl 0.5000 0.0000 0.0000  2 Zr 2.50
5 S 0.0000 0.0000 0.5000  2 Zr 2.52

***

No. 4
Computed, not measured: GeSb2IO after structural relaxation at the PBE-GGA level of DFT.

Computed properties:
E_form (uncorrected)	167	meV/atom
symmetry	P4/mmm
polymorph energy (0 for the lowest one)	0.000	eV per atom
total moment	0.00	μB per cell

a = 4.5038 Å, b = 4.5038 Å, c = 6.5019 Å
α = 90.00°, β = 90.00°, γ = 90.00°
Closest atoms and distances in Å follow each position.
Element x y z (fractional)
1 O 0.0000 0.0000 0.0000  4 Sb 2.25
2 Ge 0.5000 0.5000 0.5000  4 I 3.18
3 Sb 0.5000 0.0000 0.0000  2 O 2.25
4 Sb 0.0000 0.5000 0.0000  2 O 2.25
5 I 0.0000 0.0000 0.5000  4 Ge 3.18, 2 O 3.25

***

No. 5
Computed, not measured: LaIn2W after structural relaxation at the PBE-GGA level of DFT.

Computed properties:
symmetry	Fm-3m
polymorph energy (0 for the lowest one)	0.122	eV per atom
total moment	2.48	μB per cell
formation energy	0.3817	eV/atom

a = 5.1318 Å, b = 5.1318 Å, c = 5.1318 Å
α = 60.00°, β = 60.00°, γ = 60.00°
Closest atoms and distances in Å follow each position.
Element x y z (fractional)
1 In 0.2500 0.2500 0.2500  4 W 3.14, 4 La 3.14
2 W 0.5000 0.5000 0.5000  8 In 3.14
3 La 0.0000 0.0000 0.0000  8 In 3.14
4 In 0.7500 0.7500 0.7500  4 La 3.14, 4 W 3.14

***

No. 6
Computed, not measured: La2PrTm6 after structural relaxation at the PBE-GGA level of DFT.

Computed properties:
symmetry	P-3
polymorph energy (0 for the lowest one)	0.000	eV per atom
total moment	0.00	μB per cell
formation energy	0.0951	eV/atom

a = 3.5285 Å, b = 9.7661 Å, c = 9.7661 Å
α = 120.00°, β = 90.00°, γ = 90.00°
Closest atoms and distances in Å follow each position.
Element x y z (fractional)
1 La 0.2639 0.6667 0.3333  9 Tm 3.38-3.58, 2 La 3.53
2 La 0.7361 0.3333 0.6667  9 Tm 3.38-3.58, 2 La 3.53
3 Pr 0.5000 0.0000 0.0000  6 Tm 3.44, 2 Pr 3.53
4 Tm 0.2275 0.6526 0.6718  3 La 3.38-3.58, 1 Pr 3.44, 6 Tm 3.53-3.72
5 Tm 0.7725 0.9808 0.6526  3 La 3.38-3.58, 1 Pr 3.44, 6 Tm 3.53-3.72
6 Tm 0.2275 0.0192 0.3474  3 La 3.38-3.58, 1 Pr 3.44, 6 Tm 3.53-3.72
7 Tm 0.7725 0.3474 0.3282  3 La 3.38-3.58, 1 Pr 3.44, 6 Tm 3.53-3.72
8 Tm 0.2275 0.3282 0.9808  3 La 3.38-3.58, 1 Pr 3.44, 6 Tm 3.53-3.72
9 Tm 0.7725 0.6718 0.0192  3 La 3.38-3.58, 1 Pr 3.44, 6 Tm 3.53-3.72

***

No. 7
Computed, not measured: Pu2HgCl after structural relaxation at the PBE-GGA level of DFT.

Computed properties:
E_form (uncorrected)	-441	meV/atom
symmetry	R-3m
polymorph energy (0 for the lowest one)	0.087	eV per atom
total moment	12.08	μB per cell

a = 4.3933 Å, b = 4.3933 Å, c = 6.9261 Å
α = 71.51°, β = 71.51°, γ = 60.00°
Closest atoms and distances in Å follow each position.
Element x y z (fractional)
1 Cl 0.5000 0.5000 0.5000  6 Pu 2.88
2 Hg 0.0000 0.0000 0.0000  6 Pu 3.15
3 Pu 0.7631 0.7631 0.7106  3 Cl 2.88, 3 Hg 3.15
4 Pu 0.2369 0.2369 0.2894  3 Cl 2.88, 3 Hg 3.15

***

No. 8
Computed, not measured: BeInGa2B after structural relaxation at the PBE-GGA level of DFT.

Computed properties:
symmetry	P4/mmm
polymorph energy (0 for the lowest one)	0.000	eV per atom
total moment	0.00	μB per cell
formation energy	0.7685	eV/atom

a = 4.1626 Å, b = 5.1323 Å, c = 4.1626 Å
α = 90.00°, β = 90.00°, γ = 90.00°
Closest atoms and distances in Å follow each position.
Element x y z (fractional)
1 B 0.0000 0.0000 0.0000  4 Ga 2.08
2 Ga 0.5000 0.0000 0.0000  2 B 2.08
3 Ga 0.0000 0.0000 0.5000  2 B 2.08
4 Be 0.5000 0.5000 0.5000  4 In 2.94
5 In 0.0000 0.5000 0.0000  2 B 2.57

***

- Which of these has the highest total moment?
  Pu2HgCl